<i>
VASP calculation (PBE) on a relaxed K2TiFe crystal.

- ρ: 2.1 g/cm3
- DOS(E_F): 2.30 states/eV/atom

```
4
Lattice="0.000 4.179 4.179 4.179 0.000 4.179 4.179 4.179 0.000" Properties=species:S:1:pos:R:3 pbc="T T T"
K 2.089 2.089 2.089
K 6.268 6.268 6.268
Ti 0.000 0.000 0.000
Fe 4.179 4.179 4.179
```



<ii>
VASP calculation (PBE) on a relaxed K2TiFe crystal.

- ρ: 1.7 g/cm3
- DOS(E_F): 0.47 states/eV/atom

```
8
Lattice="-6.368 6.368 2.160 6.368 -6.368 2.160 6.368 6.368 -2.160" Properties=species:S:1:pos:R:3 pbc="T T T"
K 1.054 3.184 0.540
K -3.184 5.314 1.620
K -1.054 9.552 0.540
K 3.184 7.423 1.620
Ti 6.368 0.000 1.080
Ti 0.000 0.000 2.160
Fe 0.000 0.000 0.000
Fe 0.000 6.368 1.080
```



<ii> wins, 55.7 kJ/mol of atoms ahead of the next structure.



<i>
VASP calculation (PBE) on a relaxed KTiFe3 crystal.

- ρ: 4.9 g/cm3
- DOS(E_F): 1.89 states/eV/atom

```
5
Lattice="4.426 0.000 0.000 0.000 4.426 0.000 0.000 0.000 4.426" Properties=species:S:1:pos:R:3 pbc="T T T"
K 0.000 0.000 0.000
Ti 2.213 2.213 2.213
Fe 0.000 0.000 2.213
Fe 0.000 2.213 0.000
Fe 2.213 0.000 0.000
```



<ii>
VASP calculation (PBE) on a relaxed KTiFe3 crystal.

- ρ: 4.2 g/cm3
- DOS(E_F): 2.47 states/eV/atom

```
5
Lattice="4.667 0.000 0.000 0.000 4.667 0.000 0.000 0.000 4.667" Properties=species:S:1:pos:R:3 pbc="T T T"
K 0.000 0.000 0.000
Ti 2.333 2.333 2.333
Fe 0.000 2.333 2.333
Fe 2.333 0.000 2.333
Fe 2.333 2.333 0.000
```



<ii> wins, 105.6 kJ/mol of atoms ahead of the next structure.



<i>
VASP calculation (PBE) on a relaxed K2TlFe crystal.

- ρ: 3.8 g/cm3
- DOS(E_F): 0.74 states/eV/atom

```
4
Lattice="-2.328 3.040 5.286 2.328 -3.040 5.286 2.328 3.040 -5.286" Properties=species:S:1:pos:R:3 pbc="T T T"
K 0.000 0.000 0.000
K 0.000 3.040 2.088
Tl 2.328 0.000 3.016
Fe 0.000 0.000 4.176
```



<ii>
VASP calculation (PBE) on a relaxed K2TlFe crystal.

- ρ: 4.4 g/cm3
- DOS(E_F): 1.49 states/eV/atom

```
4
Lattice="0.000 3.988 3.988 3.988 0.000 3.988 3.988 3.988 0.000" Properties=species:S:1:pos:R:3 pbc="T T T"
K 0.000 0.000 0.000
K 1.994 1.994 1.994
Tl 3.988 3.988 3.988
Fe 5.982 5.982 5.982
```



<iii>
VASP calculation (PBE) on a relaxed K2TlFe crystal.

- ρ: 5.0 g/cm3
- DOS(E_F): 1.46 states/eV/atom

```
8
Lattice="-2.166 2.166 12.091 2.166 -2.166 12.091 2.166 2.166 -12.091" Properties=species:S:1:pos:R:3 pbc="T T T"
K 3.249 1.048 -3.023
K 1.048 1.083 3.023
K -1.083 1.118 9.068
K 1.118 1.083 15.113
Tl 2.166 0.000 6.045
Tl 0.000 0.000 12.091
Fe 0.000 0.000 0.000
Fe 0.000 2.166 6.045
```



<iv>
VASP calculation (PBE) on a relaxed K2TlFe crystal.

- ρ: 4.3 g/cm3
- DOS(E_F): 0.73 states/eV/atom

```
4
Lattice="3.215 -5.541 0.000 3.215 5.541 0.000 -0.046 0.000 3.673" Properties=species:S:1:pos:R:3 pbc="T T T"
K 1.608 2.771 0.000
K 1.608 -2.771 0.000
Tl -0.023 0.000 1.837
Fe 3.192 0.000 1.837
```



<i> wins, 15.4 kJ/mol of atoms ahead of the next structure.



<i>
VASP calculation (PBE) on a relaxed KTl3Fe crystal.

- ρ: 8.4 g/cm3
- DOS(E_F): 0.11 states/eV/atom

```
5
Lattice="5.197 0.000 0.000 0.000 5.197 0.000 0.000 0.000 5.197" Properties=species:S:1:pos:R:3 pbc="T T T"
K 0.000 0.000 0.000
Tl 0.000 2.599 2.599
Tl 2.599 0.000 2.599
Tl 2.599 2.599 0.000
Fe 2.599 2.599 2.599
```



<ii>
VASP calculation (PBE) on a relaxed KTl3Fe crystal.

- ρ: 5.3 g/cm3
- DOS(E_F): 2.01 states/eV/atom

```
5
Lattice="6.054 0.000 0.000 0.000 6.054 0.000 0.000 0.000 6.054" Properties=species:S:1:pos:R:3 pbc="T T T"
K 0.000 0.000 0.000
Tl 0.000 0.000 3.027
Tl 0.000 3.027 0.000
Tl 3.027 0.000 0.000
Fe 3.027 3.027 3.027
```



<i> wins, 115.7 kJ/mol of atoms ahead of the next structure.



<i>
VASP calculation (PBE) on a relaxed KV3Fe crystal.

- ρ: 5.3 g/cm3
- DOS(E_F): 1.45 states/eV/atom

```
5
Lattice="4.258 0.000 0.000 0.000 4.258 0.000 0.000 0.000 4.258" Properties=species:S:1:pos:R:3 pbc="T T T"
K 0.000 0.000 0.000
V 0.000 0.000 2.129
V 0.000 2.129 0.000
V 2.129 0.000 0.000
Fe 2.129 2.129 2.129
```



<ii>
VASP calculation (PBE) on a relaxed KV3Fe crystal.

- ρ: 4.1 g/cm3
- DOS(E_F): 1.28 states/eV/atom

```
5
Lattice="4.646 0.000 0.000 0.000 4.646 0.000 0.000 0.000 4.646" Properties=species:S:1:pos:R:3 pbc="T T T"
K 0.000 0.000 0.000
V 0.000 2.323 2.323
V 2.323 0.000 2.323
V 2.323 2.323 0.000
Fe 2.323 2.323 2.323
```



<ii> wins, 141.4 kJ/mol of atoms ahead of the next structure.



<i>
VASP calculation (PBE) on a relaxed KFe2W crystal.

- ρ: 7.0 g/cm3
- DOS(E_F): 1.00 states/eV/atom

```
4
Lattice="2.748 0.000 0.000 0.000 3.558 0.000 0.000 0.000 8.090" Properties=species:S:1:pos:R:3 pbc="T T T"
K 0.000 0.000 0.000
Fe 0.000 0.000 4.266
Fe 1.374 1.779 5.367
W 1.374 1.779 3.009
```



<ii>
VASP calculation (PBE) on a relaxed KFe2W crystal.

- ρ: 7.0 g/cm3
- DOS(E_F): 1.05 states/eV/atom

```
4
Lattice="3.173 0.000 0.000 0.000 3.173 0.000 0.000 0.000 7.855" Properties=species:S:1:pos:R:3 pbc="T T T"
K 0.000 0.000 0.000
Fe 1.586 1.586 2.740
Fe 1.586 1.586 5.115
W 0.000 0.000 3.927
```



<iii>
VASP calculation (PBE) on a relaxed KFe2W crystal.

- ρ: 7.8 g/cm3
- DOS(E_F): 1.06 states/eV/atom

```
4
Lattice="1.475 0.851 9.506 -1.475 0.851 9.506 0.000 -1.703 9.506" Properties=species:S:1:pos:R:3 pbc="T T T"
K 0.000 0.000 0.000
Fe 0.000 0.000 6.616
Fe 0.000 0.000 21.902
W 0.000 0.000 14.259
```



<iv>
VASP calculation (PBE) on a relaxed KFe2W crystal.

- ρ: 8.0 g/cm3
- DOS(E_F): 1.41 states/eV/atom

```
4
Lattice="2.622 0.000 0.000 0.000 4.855 0.000 0.000 0.000 5.469" Properties=species:S:1:pos:R:3 pbc="T T T"
K 0.000 0.000 0.000
Fe 0.000 2.427 2.735
Fe 1.311 2.427 0.000
W 1.311 0.000 2.735
```



<ii> wins, 12.5 kJ/mol of atoms ahead of the next structure.



<i>
VASP calculation (PBE) on a relaxed KFe2W crystal.

- ρ: 6.5 g/cm3
- DOS(E_F): 0.96 states/eV/atom

```
4
Lattice="4.172 -1.402 0.000 4.172 1.402 0.000 -0.524 0.000 7.330" Properties=species:S:1:pos:R:3 pbc="T T T"
K 0.000 0.000 0.000
Fe 3.849 0.000 3.521
Fe 6.232 0.000 2.577
W 1.563 0.000 4.513
```



<ii>
VASP calculation (PBE) on a relaxed KFe2W crystal.

- ρ: 8.7 g/cm3
- DOS(E_F): 0.78 states/eV/atom

```
4
Lattice="0.000 3.169 3.169 3.169 0.000 3.169 3.169 3.169 0.000" Properties=species:S:1:pos:R:3 pbc="T T T"
K 0.000 0.000 0.000
Fe 1.585 1.585 1.585
Fe 3.169 3.169 3.169
W 4.754 4.754 4.754
```



<i> wins, 66.4 kJ/mol of atoms ahead of the next structure.



<i>
VASP calculation (PBE) on a relaxed KFe2W crystal.

- ρ: 8.2 g/cm3
- DOS(E_F): 1.53 states/eV/atom

```
4
Lattice="5.063 0.000 0.000 0.000 5.063 0.000 0.000 0.000 2.629" Properties=species:S:1:pos:R:3 pbc="T T T"
K 0.000 0.000 0.000
Fe 0.000 2.531 1.315
Fe 2.531 0.000 1.315
W 2.531 2.531 0.000
```



<ii>
VASP calculation (PBE) on a relaxed KFe2W crystal.

- ρ: 6.5 g/cm3
- DOS(E_F): 1.00 states/eV/atom

```
4
Lattice="4.303 -1.395 0.000 4.303 1.395 0.000 -0.390 0.000 7.083" Properties=species:S:1:pos:R:3 pbc="T T T"
K 0.000 0.000 0.000
Fe 1.797 0.000 4.463
Fe 6.419 0.000 2.620
W 4.108 0.000 3.542
```



<ii> wins, 37.9 kJ/mol of atoms ahead of the next structure.